## 1
Computed, not measured: a relaxed AgPd5Au crystal at the PBE level of DFT.

Lattice parameters (Å, degrees): 7.182 8.930 5.127 90.00 90.00 90.00
Space group Imm2 (No. 44)
One atom of each set of equivalent atoms:
Ag 0.000 0.000 0.000 (multiplicity 2)
Pd 0.000 0.000 0.498 (multiplicity 2)
Pd 0.000 0.261 0.322 (multiplicity 4)
Pd 0.179 0.500 0.174 (multiplicity 4)
Au 0.000 0.500 0.683 (multiplicity 2)

Computed properties:
Magnetic moment = 0.0 μB/cell

=====

## 2
Computed, not measured: a relaxed AgPd5Au crystal at the PBE level of DFT.

Lattice parameters (Å, degrees): 5.502 8.124 5.493 90.00 90.00 90.00
Space group Cmmm (No. 65)
One atom of each set of equivalent atoms:
Ag 0.000 0.000 0.000 (multiplicity 2)
Pd 0.000 0.500 0.000 (multiplicity 2)
Pd 0.250 0.250 0.254 (multiplicity 8)
Au 0.000 0.500 0.500 (multiplicity 2)

Computed properties:
Magnetic moment = 0.0 μB/cell

=====

Most stable of them? 2.